Dy3Mg3HgIr2: relaxed, PBE.

Summary:
The calculation puts the total energy at -4.613 eV per atom. The space group is P-62m (189).

Unit cell a=7.442 b=7.442 c=4.074 alpha=90.00 beta=90.00 gamma=120.00
Sites, in units of the cell vectors:
Hg (0.000, 0.000, 0.000)
Mg (0.259, 0.000, 0.500)
Dy (0.000, 0.579, 0.000)
Mg (0.000, 0.259, 0.500)
Mg (0.741, 0.741, 0.500)
Dy (0.579, 0.000, 0.000)
Dy (0.421, 0.421, 0.000)
Ir (0.667, 0.333, 0.500)
Ir (0.333, 0.667, 0.500)